Entry from Alexandria via LeMat-Bulk: BeRe2Mo after structural relaxation (GGA-PBE).

Unit cell a=4.1718 b=4.1718 c=3.2043 alpha=90.00 beta=90.00 gamma=90.00
With the nearest neighbours (Å) after each atom.
Element x y z (fractional)
Mo  0.0000  0.5000  0.5000  8 Re 2.63
Be  0.5000  0.0000  0.5000  8 Re 2.63
Re  0.0000  0.0000  0.0000  4 Mo 2.63, 4 Be 2.63
Re  0.5000  0.5000  0.0000  4 Be 2.63, 4 Mo 2.63

Values from the calculation:
- calculated total energy (eV/cell) = -38.675
- ρ (g/cm³) = 14.21
- formation energy from the elements (eV/atom) = 0.195
- DOS at the Fermi energy (states/eV/atom) = 1.010